No. 1
Pm6Ho12Tm | GGA-PBE | optimized geometry

It has space group R-3m (No. 166, hexagonal axes), with a = 11.0652 Å, b = 11.0652 Å, c = 17.4783 Å, α = 90.00°, β = 90.00° and γ = 120.00°. The asymmetric unit holds Pm at (0.0705, 0.5353, 0.2675), Ho at (0.0995, 0.5498, 0.9132), Ho at (0.1061, 0.2122, 0.9077) and Tm at (0.0000, 0.0000, 0.5000).

The calculated density is 8.1 Mg/m³. As for the energy relative to the lowest polymorph listed for this composition: 0.000 eV/atom. The total magnetic moment is 0.0 μB/f.u.

No. 2
PmHoTm2 | GGA-PBE | optimized geometry

It has space group Fm-3m (No. 225), with a = 7.977 Å, b = 7.977 Å, c = 7.977 Å, α = 90.00°, β = 90.00° and γ = 90.00°. The asymmetric unit holds Pm at (0.000, 0.000, 0.000), Ho at (0.000, 0.000, 0.500) and Tm at (0.250, 0.250, 0.250).

The calculated density is 8.5 Mg/m³. As for the energy relative to the lowest polymorph listed for this composition: 0.107 eV/atom. The total magnetic moment is 0.0 μB/f.u.

No. 3
Pm3Ho2Tm4 | GGA-PBE | optimized geometry

It has space group C2/c (No. 15), with a = 16.505 Å, b = 11.567 Å, c = 6.013 Å, α = 90.00°, β = 97.44° and γ = 90.00°. The asymmetric unit holds Pm at (0.000, 0.105, 0.250), Pm at (0.166, 0.396, 0.086), Ho at (0.119, 0.134, 0.814), Tm at (0.049, 0.366, 0.520) and Tm at (0.217, 0.134, 0.351).

The calculated density is 8.4 Mg/m³. As for the energy relative to the lowest polymorph listed for this composition: 0.083 eV/atom. The total magnetic moment is 0.0 μB/f.u.

No. 4
Pm4Ho15Tm | GGA-PBE | optimized geometry

It has space group P4/mmm (No. 123), with a = 5.019 Å, b = 5.019 Å, c = 25.041 Å, α = 90.00°, β = 90.00° and γ = 90.00°. The asymmetric unit holds Pm at (0.000, 0.000, 0.100), Pm at (0.000, 0.000, 0.301), Ho at (0.000, 0.500, 0.000), Ho at (0.000, 0.500, 0.201), Ho at (0.000, 0.500, 0.402), Ho at (0.500, 0.500, 0.100), Ho at (0.500, 0.500, 0.301), Ho at (0.500, 0.500, 0.500) and Tm at (0.000, 0.000, 0.500).

The calculated density is 8.5 Mg/m³. The calculation puts the uncorrected energy at -4.587 eV/atom. The total magnetic moment is 0.0 μB/f.u.

Repeat the second record exactly.
PmHoTm2 | GGA-PBE | optimized geometry

It has space group Fm-3m (No. 225), with a = 7.977 Å, b = 7.977 Å, c = 7.977 Å, α = 90.00°, β = 90.00° and γ = 90.00°. The asymmetric unit holds Pm at (0.000, 0.000, 0.000), Ho at (0.000, 0.000, 0.500) and Tm at (0.250, 0.250, 0.250).

The calculated density is 8.5 Mg/m³. As for the energy relative to the lowest polymorph listed for this composition: 0.107 eV/atom. The total magnetic moment is 0.0 μB/f.u.